Below is Cs2BaTl2 after structural relaxation, with properties calculated at the PBE level.

Results
The calculation puts the total magnetization at 0.00 μB per cell. For the volume, the calculation gives 490.2 Å³ per cell. For the density of states at the Fermi level, the calculation gives 1.467 states/eV/atom. As for the excess energy over the best structure of this formula in the dataset: 0.091 eV per atom.

abc: 10.770 10.770 4.226
angles: 90.00 90.00 90.00
Fractional positions:
Tl  0.825  0.675  0.500
Tl  0.675  0.175  0.500
Tl  0.325  0.825  0.500
Tl  0.175  0.325  0.500
Cs  0.873  0.373  0.000
Cs  0.627  0.873  0.000
Cs  0.127  0.627  0.000
Cs  0.373  0.127  0.000
Ba  0.000  0.000  0.000
Ba  0.500  0.500  0.000



Below is CsBa2Tl2 after structural relaxation, with properties calculated at the PBE level.

Results
The calculation puts the total magnetization at 0.00 μB per cell. For the volume, the calculation gives 447.3 Å³ per cell. For the density of states at the Fermi level, the calculation gives 0.412 states/eV/atom. As for the excess energy over the best structure of this formula in the dataset: 0.000 eV per atom.

abc: 10.401 10.401 4.135
angles: 90.00 90.00 90.00
Fractional positions:
Ba  0.143  0.357  0.000
Ba  0.643  0.143  0.000
Ba  0.357  0.857  0.000
Ba  0.857  0.643  0.000
Tl  0.651  0.849  0.500
Tl  0.349  0.151  0.500
Tl  0.151  0.651  0.500
Tl  0.849  0.349  0.500
Cs  0.000  0.000  0.000
Cs  0.500  0.500  0.000